No. 1
Compound: Co2SI
Source: the Alexandria database
Functional: PBE-GGA
Structure: relaxed

Cell lengths 4.9772, 4.9772, 6.9413 Å; angles 68.99, 68.99, 90.00 degrees
With the nearest neighbours (Å) after each atom.
Fractional coordinates of all 8 atoms:
I 0.0000 0.0000 0.0000  4 Co 2.55
I 0.7500 0.2500 0.5000  4 Co 2.55
S 0.5000 0.5000 0.0000  4 Co 2.12
S 0.2500 0.7500 0.5000  4 Co 2.12
Co 0.5428 0.1250 0.2500  2 S 2.12
Co 0.2072 0.6250 0.2500  2 S 2.12
Co 0.3750 0.4572 0.7500  2 S 2.12
Co 0.8750 0.7928 0.7500  2 S 2.12

Its space-group type is I-42d (122). The calculation puts the polymorph energy (0 for the lowest one) at 0.00 eV per formula unit. The density of states at the Fermi level comes out at 8.0 states/eV per cell. The calculated volume comes out at 74.1 Å³/f.u. The calculation puts the uncorrected formation energy at 20 kJ/mol of formula units.

***

No. 2
Compound: Ho2Fe3B6
Source: the Alexandria database
Functional: PBE-GGA
Structure: relaxed

Cell lengths 3.4971, 5.8040, 5.8040 Å; angles 99.29, 90.00, 90.00 degrees
With the nearest neighbours (Å) after each atom.
Fractional coordinates of all 11 atoms:
Ho 0.0000 0.2856 0.7144  12 B 2.72-2.74, 4 Fe 2.90-2.97
Ho 0.0000 0.7144 0.2856  12 B 2.72-2.74, 4 Fe 2.90-2.97
Fe 0.0000 0.2072 0.2072  6 B 2.18-2.22, 2 Fe 2.34
Fe 0.0000 0.7928 0.7928  6 B 2.18-2.22, 2 Fe 2.34
Fe 0.5000 0.0000 0.0000  4 B 2.21, 4 Fe 2.34
B 0.5000 0.3815 0.3815  3 B 1.75-1.78
B 0.5000 0.6185 0.6185  3 B 1.75-1.78
B 0.5000 0.0806 0.3859  2 B 1.74-1.75
B 0.5000 0.9194 0.6141  2 B 1.74-1.75
B 0.5000 0.3859 0.0806  2 B 1.74-1.75
B 0.5000 0.6141 0.9194  2 B 1.74-1.75

Its space-group type is Cmmm (65). The density of states at the Fermi level comes out at 6.6 states/eV per cell. The calculated volume comes out at 116.3 Å³/f.u. The calculation puts the formation energy at -0.49 eV/atom.

***

No. 3
Compound: Ac2LaPr
Source: the Alexandria database
Functional: PBE-GGA
Structure: relaxed

Cell lengths 3.8780, 3.8780, 10.7997 Å; angles 90.00, 90.00, 90.00 degrees
With the nearest neighbours (Å) after each atom.
Fractional coordinates of all 4 atoms:
Pr 0.5000 0.5000 0.5000  8 Ac 3.83, 4 Pr 3.88
Ac 0.0000 0.0000 0.7482  4 Pr 3.83, 4 La 3.86, 4 Ac 3.88
Ac 0.0000 0.0000 0.2518  4 Pr 3.83, 4 La 3.86, 4 Ac 3.88
La 0.5000 0.5000 0.0000  8 Ac 3.86, 4 La 3.88

Its space-group type is P4/mmm (123). The calculation puts the polymorph energy (0 for the lowest one) at 0.02 eV per formula unit. The density of states at the Fermi level comes out at 7.1 states/eV per cell. The calculated volume comes out at 162.4 Å³/f.u. The calculation puts the formation energy at 0.02 eV/atom.

***

No. 4
Compound: MnInBr2
Source: the Alexandria database
Functional: PBE-GGA
Structure: relaxed

Cell lengths 3.4709, 3.4709, 8.7437 Å; angles 90.00, 90.00, 90.00 degrees
With the nearest neighbours (Å) after each atom.
Fractional coordinates of all 4 atoms:
Br 0.0000 0.0000 0.9132  4 Mn 2.81
Br 0.5000 0.5000 0.3098  4 In 3.07
In 0.0000 0.0000 0.5208  5 Br 3.07-3.43, 4 Mn 3.20
Mn 0.5000 0.5000 0.7561  4 Br 2.81

Its space-group type is P4mm (99). The calculation puts the polymorph energy (0 for the lowest one) at 0.83 eV per formula unit. The density of states at the Fermi level comes out at 1.7 states/eV per cell. The calculated volume comes out at 105.3 Å³/f.u. The calculation puts the uncorrected formation energy at -78 kJ/mol of formula units.

***

No. 5
Compound: CaRuSN2
Source: the Alexandria database
Functional: PBE-GGA
Structure: relaxed

Cell lengths 4.3738, 4.3738, 5.4564 Å; angles 90.00, 90.00, 90.00 degrees
With the nearest neighbours (Å) after each atom.
Fractional coordinates of all 5 atoms:
Ru 0.5000 0.5000 0.5000  4 S 3.09
Ca 0.0000 0.0000 0.0000  4 N 2.19
S 0.0000 0.0000 0.5000  2 Ca 2.73
N 0.0000 0.5000 0.0000  2 Ca 2.19
N 0.5000 0.0000 0.0000  2 Ca 2.19

Its space-group type is P4/mmm (123). The calculation puts the polymorph energy (0 for the lowest one) at 10.38 eV per formula unit. The density of states at the Fermi level comes out at 5.2 states/eV per cell. The calculated volume comes out at 104.4 Å³/f.u. The calculation puts the uncorrected formation energy at 937 kJ/mol of formula units.

***

No. 6
Compound: InPN3
Source: the Alexandria database
Functional: PBE-GGA
Structure: relaxed

Cell lengths 3.5949, 3.5949, 3.5949 Å; angles 90.00, 90.00, 90.00 degrees
With the nearest neighbours (Å) after each atom.
Fractional coordinates of all 5 atoms:
P 0.0000 0.0000 0.0000  6 N 1.80
N 0.0000 0.5000 0.0000  2 P 1.80
N 0.0000 0.0000 0.5000  2 P 1.80
N 0.5000 0.0000 0.0000  2 P 1.80
In 0.5000 0.5000 0.5000  12 N 2.54

Its space-group type is Pm-3m (221). The density of states at the Fermi level comes out at 2.1 states/eV per cell. The calculated volume comes out at 46.5 Å³/f.u. The calculation puts the uncorrected formation energy at 430 kJ/mol of formula units.

***

Number 1: uncorrected energy -39.4 eV/cell. Number 2: uncorrected energy -80.0 eV/cell. Number 3: uncorrected energy -17.8 eV/cell. Number 4: uncorrected energy -16.1 eV/cell. Number 5: uncorrected energy -22.3 eV/cell. Number 6: uncorrected energy -28.7 eV/cell.